{"formula": "ZnMoN2O", "functional": "PBE+U", "state": "optimized geometry", "cell": [[3.998, 0.000, 0.000], [0.000, 3.998, 0.000], [0.000, 0.000, 3.858]], "species": ["Zn", "Mo", "N", "N", "O"], "fractional_positions": [[0.000, 0.000, 0.000], [0.500, 0.500, 0.500], [0.000, 0.500, 0.500], [0.500, 0.000, 0.500], [0.500, 0.500, 0.000]], "energy_ha_per_atom": -0.209}